No. 1
! PBEsol LiW2Br, relaxed; values from VASP
! * formation energy (no corrections): 1.398 eV per atom
! * magnetization: 0.0 μB/cell
&SYSTEM
  ibrav = 0, nat = 4, ntyp = 3
/
ATOMIC_SPECIES
Br 79.90 Br.upf
Li 6.94 Li.upf
W 183.84 W.upf
CELL_PARAMETERS angstrom
4.3463 0.0000 0.0000
2.1731 3.7640 0.0000
2.1731 1.2547 3.5487
ATOMIC_POSITIONS crystal
Br 0.0000 0.0000 0.0000
Li 0.5000 0.5000 0.5000
W 0.7500 0.7500 0.7500
W 0.2500 0.2500 0.2500

---

No. 2
! PBEsol LiWBr2, relaxed; values from VASP
! * formation energy (no corrections): 0.245 eV per atom
! * magnetization: 0.0 μB/cell
&SYSTEM
  ibrav = 0, nat = 4, ntyp = 3
/
ATOMIC_SPECIES
Br 79.90 Br.upf
Li 6.94 Li.upf
W 183.84 W.upf
CELL_PARAMETERS angstrom
3.1311 0.0000 0.0000
-1.5655 2.9398 0.0000
0.0000 0.0000 8.0349
ATOMIC_POSITIONS crystal
Br 0.0000 0.0000 0.7426
Br 0.0000 0.0000 0.2574
Li 0.5000 0.0000 0.5000
W 0.5000 0.0000 0.0000

---

Number 2 is which compound? LiWBr2

---

Among the records above, which one has the lowest formation energy (no corrections)? LiWBr2

---

What is the magnetization in the first record? 0.0 μB/cell